1.
! PBE-GGA NbFeRu2, relaxed; values from VASP
! ΔH_f (0 K) = 148 meV/atom
! Uncorrected energy = -9.12 eV per atom
&SYSTEM
  ibrav = 0, nat = 4, ntyp = 3
/
ATOMIC_SPECIES
Ru 101.07 Ru.upf
Nb 92.91 Nb.upf
Fe 55.84 Fe.upf
CELL_PARAMETERS angstrom
-1.9213 1.4728 -1.2722
-2.4479 0.3536 1.1669
1.4887 7.8833 3.9389
ATOMIC_POSITIONS crystal
Ru 0.2407 0.2407 0.2779
Nb 0.6667 0.6667 0.0000
Fe 0.5004 0.5004 0.4987
Ru 0.0922 0.0922 0.7234


2.
! PBE-GGA NbFeRu3, relaxed; values from VASP
! ΔH_f (0 K) = 1128 meV/atom
! Uncorrected energy = -8.14 eV per atom
! Energy relative to the lowest polymorph listed for this composition = 0.00 kJ/mol of atoms
&SYSTEM
  ibrav = 0, nat = 5, ntyp = 3
/
ATOMIC_SPECIES
Nb 92.91 Nb.upf
Ru 101.07 Ru.upf
Fe 55.84 Fe.upf
CELL_PARAMETERS angstrom
4.3695 0.0000 0.0000
0.0000 4.3695 0.0000
0.0000 0.0000 4.3695
ATOMIC_POSITIONS crystal
Nb 0.5000 0.5000 0.5000
Ru 0.0000 0.0000 0.5000
Ru 0.0000 0.5000 0.0000
Ru 0.5000 0.0000 0.0000
Fe 0.0000 0.0000 0.0000


3.
! PBE-GGA NbFeRu2, relaxed; values from VASP
! ΔH_f (0 K) = -102 meV/atom
! Uncorrected energy = -9.37 eV per atom
&SYSTEM
  ibrav = 0, nat = 4, ntyp = 3
/
ATOMIC_SPECIES
Ru 101.07 Ru.upf
Nb 92.91 Nb.upf
Fe 55.84 Fe.upf
CELL_PARAMETERS angstrom
4.3805 0.0000 0.0000
2.1903 3.7937 0.0000
2.1903 1.2646 3.5767
ATOMIC_POSITIONS crystal
Ru 0.7500 0.7500 0.7500
Nb 0.5000 0.5000 0.5000
Ru 0.2500 0.2500 0.2500
Fe 0.0000 0.0000 0.0000


4.
! PBE-GGA NbFe3Ru, relaxed; values from VASP
! ΔH_f (0 K) = 1366 meV/atom
! Uncorrected energy = -7.58 eV per atom
! Energy relative to the lowest polymorph listed for this composition = 0.00 kJ/mol of atoms
&SYSTEM
  ibrav = 0, nat = 5, ntyp = 3
/
ATOMIC_SPECIES
Ru 101.07 Ru.upf
Fe 55.84 Fe.upf
Nb 92.91 Nb.upf
CELL_PARAMETERS angstrom
-1.1429 -4.2992 -0.2239
4.2976 -1.1258 -0.3208
0.2531 -0.2983 4.4369
ATOMIC_POSITIONS crystal
Ru 0.0000 0.0000 0.0000
Fe 0.5000 0.0000 0.0000
Fe 0.0000 0.0000 0.5000
Fe 0.0000 0.5000 0.0000
Nb 0.5000 0.5000 0.5000


5.
! PBE-GGA NbFe3Ru, relaxed; values from VASP
! ΔH_f (0 K) = 1704 meV/atom
! Uncorrected energy = -7.24 eV per atom
! Energy relative to the lowest polymorph listed for this composition = 32.57 kJ/mol of atoms
&SYSTEM
  ibrav = 0, nat = 5, ntyp = 3
/
ATOMIC_SPECIES
Ru 101.07 Ru.upf
Fe 55.84 Fe.upf
Nb 92.91 Nb.upf
CELL_PARAMETERS angstrom
-3.8537 -1.6201 1.4140
2.1037 -2.2385 3.1684
-0.4459 3.4408 2.7271
ATOMIC_POSITIONS crystal
Ru 0.5000 0.5000 0.5000
Fe 0.0000 0.0000 0.5000
Fe 0.5000 0.0000 0.0000
Nb 0.0000 0.0000 0.0000
Fe 0.0000 0.5000 0.0000


6.
! PBE-GGA NbFeRu2, relaxed; values from VASP
! ΔH_f (0 K) = 446 meV/atom
! Uncorrected energy = -8.83 eV per atom
&SYSTEM
  ibrav = 0, nat = 4, ntyp = 3
/
ATOMIC_SPECIES
Ru 101.07 Ru.upf
Nb 92.91 Nb.upf
Fe 55.84 Fe.upf
CELL_PARAMETERS angstrom
1.8371 1.4020 -5.3966
-2.7886 -4.3897 2.7236
-3.9132 0.1753 4.3726
ATOMIC_POSITIONS crystal
Ru 0.0000 0.7872 0.7872
Ru 0.0000 0.2128 0.2128
Nb 0.0000 0.5000 0.5000
Fe 0.0000 0.0000 0.0000


7.
! PBE-GGA Nb2FeRu, relaxed; values from VASP
! ΔH_f (0 K) = -123 meV/atom
! Uncorrected energy = -9.59 eV per atom
! Energy relative to the lowest polymorph listed for this composition = 2.19 kJ/mol of atoms
&SYSTEM
  ibrav = 0, nat = 4, ntyp = 3
/
ATOMIC_SPECIES
Nb 92.91 Nb.upf
Ru 101.07 Ru.upf
Fe 55.84 Fe.upf
CELL_PARAMETERS angstrom
-2.1086 -2.2407 -0.5888
2.6666 -3.0127 1.9150
-1.9360 0.7877 3.9352
ATOMIC_POSITIONS crystal
Nb 0.0000 0.0000 0.5000
Ru 0.5000 0.5000 0.5000
Nb 0.0000 0.5000 0.0000
Fe 0.5000 0.0000 0.0000


8.
! PBE-GGA NbFe2Ru2, relaxed; values from VASP
! ΔH_f (0 K) = 58 meV/atom
! Uncorrected energy = -9.05 eV per atom
! Energy relative to the lowest polymorph listed for this composition = 0.00 kJ/mol of atoms
&SYSTEM
  ibrav = 0, nat = 10, ntyp = 3
/
ATOMIC_SPECIES
Fe 55.84 Fe.upf
Ru 101.07 Ru.upf
Nb 92.91 Nb.upf
CELL_PARAMETERS angstrom
-0.2174 -5.7770 -4.0289
1.4989 -3.9764 5.6209
-2.6545 -0.2637 0.5213
ATOMIC_POSITIONS crystal
Fe 0.3803 0.8803 0.0000
Ru 0.6743 0.8257 0.5000
Ru 0.1743 0.6743 0.5000
Nb 0.5000 0.5000 0.0000
Fe 0.6197 0.1197 0.0000
Ru 0.8257 0.3257 0.5000
Fe 0.8803 0.6197 0.0000
Ru 0.3257 0.1743 0.5000
Nb 0.0000 0.0000 0.0000
Fe 0.1197 0.3803 0.0000